Record 1
A geometry-optimized K12Rb structure. Source: Alexandria via LeMat-Bulk, functional PBE.

Lattice parameters (Å, degrees): 10.816 10.816 10.816 109.47 109.47 109.47
Fractional coordinates of all 13 atoms:
1 K 0.681 0.499 0.818
2 K 0.862 0.182 0.681
3 K 0.319 0.501 0.182
4 K 0.499 0.818 0.681
5 K 0.681 0.862 0.182
6 K 0.818 0.681 0.499
7 K 0.818 0.319 0.138
8 K 0.319 0.138 0.818
9 K 0.138 0.818 0.319
10 K 0.182 0.681 0.862
11 Rb 0.000 0.000 0.000
12 K 0.182 0.319 0.501
13 K 0.501 0.182 0.319

Calculated values
The value obtained for the energy of formation from the pure elements is 27.2 meV per atom. Its total moment is 0.00 μB per formula unit. The value obtained for the density of states at the Fermi level is 0.7459 states/eV per atom. The density is 0.9 g/cm³.

Record 2
A geometry-optimized LaVPS2 structure. Source: Alexandria via LeMat-Bulk, functional PBE.

Lattice parameters (Å, degrees): 4.616 4.616 4.651 90.00 90.00 90.00
Fractional coordinates of all 5 atoms:
1 S 0.000 0.500 0.000
2 La 0.500 0.500 0.500
3 S 0.500 0.000 0.000
4 V 0.000 0.000 0.000
5 P 0.000 0.000 0.500

Calculated values
Its total moment is 0.00 μB per formula unit. The value obtained for the density of states at the Fermi level is 0.5377 states/eV per atom. The energy relative to the elements, uncorrected is -1037 meV per atom. The density is 4.8 g/cm³.